# MgCoMo2 GGA-PBE optimized geometry
data_MgCoMo2
_chemical_formula_sum 'Mg1 Co1 Mo2'
_cell_length_a 2.6833
_cell_length_b 4.2976
_cell_length_c 5.2018
_cell_angle_alpha 90.00
_cell_angle_beta 98.83
_cell_angle_gamma 90.00
_space_group_name_H-M_alt 'P 1 m 1'
_space_group_IT_number 6
_space_group_name_Hall 'P -2y'
loop_
_atom_site_label
_atom_site_fract_x
_atom_site_fract_y
_atom_site_fract_z
Mg1 0.0000 0.0000 0.0000
Co1 0.2249 0.5000 0.7592
Mo1 0.4692 0.0000 0.5137
Mo2 0.6644 0.5000 0.2608
# - E: -29.310 eV per cell
# - Energy relative to the elements: 0.26 eV per atom